FeIr2 | PBE-GGA | optimized geometry

Geometry as POSCAR:
```
FeIr2
1.0
4.906 -1.364 0.000
4.906 1.364 0.000
-1.552 0.000 6.188
Fe Ir
2 4
Direct
0.000 0.000 0.000
0.665 0.665 0.322
0.055 0.055 0.603
0.334 0.334 0.663
0.389 0.389 0.270
0.720 0.720 0.944
```

Output
total moment: 2.79 μB per formula unit
final energy: -0.322 Ha/atom